[1]
{"formula": "Si2MoP", "functional": "PBE", "state": "optimized geometry", "lattice_angstrom": [[-5.551, -1.328, 1.051], [1.144, -0.282, 5.682], [-3.221, 3.790, 3.799]], "species": ["Si", "P", "Mo", "Si", "Mo", "Si", "P", "Si"], "frac_coords": [[0.875, 0.852, 0.750], [0.500, 0.500, 0.000], [0.750, 0.250, 0.500], [0.375, 0.398, 0.750], [0.000, 0.000, 0.000], [0.148, 0.625, 0.250], [0.250, 0.750, 0.500], [0.602, 0.125, 0.250]], "spacegroup": "I-42d, No. 122"}

---

[2]
{"formula": "NaGe2PbS", "functional": "PBE", "state": "optimized geometry", "lattice_angstrom": [[5.120, 0.000, 0.000], [0.000, 4.918, 0.000], [0.000, 0.000, 5.120]], "species": ["Ge", "Ge", "Na", "S", "Pb"], "frac_coords": [[0.000, 0.000, 0.500], [0.500, 0.000, 0.000], [0.000, 0.500, 0.000], [0.000, 0.000, 0.000], [0.500, 0.500, 0.500]], "spacegroup": "P4/mmm, No. 123"}

---

[3]
{"formula": "K2MnAgBr5", "functional": "PBE", "state": "optimized geometry", "lattice_angstrom": [[4.311, 0.000, 0.000], [-2.155, 10.022, 0.000], [0.000, 0.000, 13.475]], "species": ["Br", "Br", "Br", "K", "Br", "Mn", "K", "Br", "Br", "Br", "K", "Mn", "K", "Br", "Ag", "Br", "Br", "Ag"], "frac_coords": [[0.688, 0.375, 0.878], [0.300, 0.601, 0.662], [0.312, 0.625, 0.378], [0.869, 0.739, 0.183], [0.641, 0.282, 0.500], [0.570, 0.140, 0.937], [0.876, 0.752, 0.817], [0.959, 0.917, 0.531], [0.508, 0.016, 0.777], [0.359, 0.718, 0.000], [0.124, 0.248, 0.317], [0.430, 0.860, 0.437], [0.131, 0.261, 0.683], [0.492, 0.984, 0.277], [0.774, 0.548, 0.539], [0.700, 0.399, 0.162], [0.041, 0.083, 0.031], [0.226, 0.452, 0.039]], "spacegroup": "Cmc2_1, No. 36"}

---

| no. | size of the total moment (μB per cell) | total DFT energy (no corrections) (eV per atom) |
| --- | --- | --- |
| 1 | 1.76 | -6.2189 |
| 2 | 0.00 | -3.5568 |
| 3 | 9.97 | -3.6125 |